(1)
AcHgI after structural relaxation, computed with PBE.

ΔE to the lowest computed polymorph   336 meV/atom

Lattice parameters (Å, degrees): 4.086 5.644 5.644 120.00 90.00 90.00
Sites, in units of the cell vectors:
1 I 0.215 0.333 0.667
2 Ac 0.122 0.000 0.000
3 Hg 0.663 0.667 0.333


(2)
Ac4InHgI2 after structural relaxation, computed with PBE.

Lattice parameters (Å, degrees): 4.785 8.467 8.289 109.11 90.00 90.00
Sites, in units of the cell vectors:
1 I 0.000 0.500 0.500
2 I 0.500 0.000 0.500
3 In 0.500 0.500 0.000
4 Ac 0.000 0.745 0.228
5 Ac 0.000 0.255 0.772
6 Ac 0.500 0.237 0.221
7 Ac 0.500 0.763 0.779
8 Hg 0.000 0.000 0.000


(3)
Ac4HgIrI2 after structural relaxation, computed with PBE.

Lattice parameters (Å, degrees): 4.445 8.142 9.045 106.86 90.00 90.00
Sites, in units of the cell vectors:
1 Hg 0.000 0.000 0.000
2 Ac 0.000 0.716 0.187
3 Ac 0.500 0.272 0.196
4 Ac 0.500 0.728 0.804
5 Ac 0.000 0.284 0.813
6 Ir 0.500 0.500 0.000
7 I 0.000 0.500 0.500
8 I 0.500 0.000 0.500


(4)
Ac4Hg2IrI after structural relaxation, computed with PBE.

Lattice parameters (Å, degrees): 4.440 8.460 8.319 106.47 90.00 90.00
Sites, in units of the cell vectors:
1 Ac 0.500 0.290 0.234
2 Ac 0.000 0.304 0.789
3 Ac 0.500 0.710 0.766
4 Ac 0.000 0.696 0.211
5 Hg 0.000 0.500 0.500
6 Hg 0.500 0.000 0.500
7 Ir 0.500 0.500 0.000
8 I 0.000 0.000 0.000


(5)
Ac6HgIr2I3 after structural relaxation, computed with PBE.

Lattice parameters (Å, degrees): 7.820 7.820 9.026 98.35 98.35 119.97
Sites, in units of the cell vectors:
1 I 0.163 0.837 0.500
2 I 0.500 0.500 0.500
3 I 0.837 0.163 0.500
4 Ac 0.937 0.576 0.811
5 Ac 0.576 0.937 0.811
6 Ac 0.063 0.424 0.189
7 Ac 0.424 0.063 0.189
8 Ac 0.703 0.703 0.188
9 Ac 0.297 0.297 0.812
10 Hg 0.000 0.000 0.000
11 Ir 0.667 0.333 0.000
12 Ir 0.333 0.667 0.000


(6)
Ac6Hg3Ir2I after structural relaxation, computed with PBE.

Lattice parameters (Å, degrees): 4.443 9.658 10.514 103.07 102.20 90.00
Sites, in units of the cell vectors:
1 Ac 0.031 0.273 0.062
2 Ac 0.325 0.448 0.651
3 Ac 0.675 0.552 0.349
4 Ac 0.969 0.727 0.938
5 Ac 0.318 0.872 0.636
6 Ac 0.682 0.128 0.364
7 I 0.500 0.000 0.000
8 Hg 0.500 0.500 0.000
9 Hg 0.145 0.825 0.289
10 Hg 0.855 0.175 0.711
11 Ir 0.824 0.668 0.649
12 Ir 0.176 0.332 0.351


(7)
AcNdHgI after structural relaxation, computed with PBE.

Lattice parameters (Å, degrees): 5.672 5.672 5.672 60.00 60.00 60.00
Sites, in units of the cell vectors:
1 Ac 0.250 0.250 0.250
2 Nd 0.750 0.750 0.750
3 I 0.000 0.000 0.000
4 Hg 0.500 0.500 0.500


(8)
Ac4NiHgI2 after structural relaxation, computed with PBE.

Lattice parameters (Å, degrees): 4.385 8.199 8.881 106.21 90.00 90.00
Sites, in units of the cell vectors:
1 Ni 0.500 0.500 0.000
2 Hg 0.000 0.000 0.000
3 Ac 0.000 0.714 0.187
4 Ac 0.000 0.286 0.813
5 Ac 0.500 0.268 0.203
6 Ac 0.500 0.732 0.797
7 I 0.500 0.000 0.500
8 I 0.000 0.500 0.500


no.,electronic total energy (eV per atom)
1,-2.551
2,-3.487
3,-4.466
4,-4.058
5,-4.902
6,-4.362
7,-3.216
8,-3.876